No. 1
DFT (PBE) results for a relaxed structure of Na2Np3TlSe6.

Summary:
Raw formation energy ... -1.091 eV/atom
Calculated total energy ... -6.486 eV/atom
Space group ... C2/m (12)

Cell and atoms, written as POSCAR:
```
Na2Np3TlSe6
1.0
9.506 -2.103 0.000
9.506 2.103 0.000
-2.500 0.000 8.390
Na Np Tl Se
2 3 1 6
Direct
0.168 0.168 0.333
0.832 0.832 0.667
0.167 0.167 0.829
0.500 0.500 0.500
0.833 0.833 0.171
0.500 0.500 0.000
0.008 0.008 0.726
0.325 0.325 0.934
0.339 0.339 0.407
0.661 0.661 0.593
0.675 0.675 0.066
0.992 0.992 0.274
```

No. 2
DFT (PBE) results for a relaxed structure of Pm6TlSe3S2.

Summary:
Raw formation energy ... -1.623 eV/atom
Calculated total energy ... -5.755 eV/atom
Space group ... C2/m (12)

Cell and atoms, written as POSCAR:
```
Pm6TlSe3S2
1.0
9.200 -2.056 0.000
9.200 2.056 0.000
-2.083 0.000 8.319
Pm Tl Se S
6 1 3 2
Direct
0.006 0.006 0.265
0.329 0.329 0.901
0.330 0.330 0.428
0.670 0.670 0.572
0.671 0.671 0.099
0.994 0.994 0.735
0.500 0.500 0.000
0.165 0.165 0.830
0.500 0.500 0.500
0.835 0.835 0.170
0.169 0.169 0.336
0.831 0.831 0.664
```

No. 3
DFT (PBE) results for a relaxed structure of YThSi2O8.

Summary:
Raw formation energy ... -3.076 eV/atom
Calculated total energy ... -8.442 eV/atom
Space group ... I-4m2 (119)

Cell and atoms, written as POSCAR:
```
YThSi2O8
1.0
-3.549 3.549 3.167
3.549 -3.549 3.167
3.549 3.549 -3.167
Y Th Si O
1 1 2 8
Direct
0.000 0.000 0.000
0.750 0.250 0.500
0.250 0.750 0.500
0.500 0.500 0.000
0.085 0.406 0.321
0.085 0.764 0.679
0.155 0.331 0.824
0.236 0.915 0.321
0.508 0.331 0.176
0.594 0.915 0.679
0.669 0.492 0.824
0.669 0.845 0.176
```

No. 4
DFT (PBE) results for a relaxed structure of BaCa3Mg.

Summary:
Energy of formation from the pure elements ... 0.040 eV/atom
Calculated total energy ... -1.864 eV/atom
Space group ... Pm-3m (221)
E above lowest polymorph ... 0.00 eV per formula unit

Cell and atoms, written as POSCAR:
```
BaCa3Mg
1.0
8.554 0.000 0.000
0.000 8.554 0.000
0.000 0.000 8.554
Ba Ca Mg
3 9 3
Direct
0.000 0.000 0.500
0.000 0.500 0.000
0.500 0.000 0.000
0.000 0.000 0.000
0.279 0.279 0.279
0.279 0.279 0.721
0.279 0.721 0.279
0.279 0.721 0.721
0.721 0.279 0.279
0.721 0.279 0.721
0.721 0.721 0.279
0.721 0.721 0.721
0.000 0.500 0.500
0.500 0.000 0.500
0.500 0.500 0.000
```

No. 5
DFT (PBE) results for a relaxed structure of Cs4Er3NpSe8.

Summary:
Raw formation energy ... -1.585 eV/atom
Calculated total energy ... -5.205 eV/atom
Space group ... R-3m (166)

Cell and atoms, written as POSCAR:
```
Cs4Er3NpSe8
1.0
4.267 2.464 8.367
-4.267 2.464 8.367
0.000 -4.928 8.367
Cs Er Np Se
4 3 1 8
Direct
0.000 0.000 0.000
0.000 0.500 0.500
0.500 0.000 0.500
0.500 0.500 0.000
0.000 0.000 0.500
0.000 0.500 0.000
0.500 0.000 0.000
0.500 0.500 0.500
0.223 0.731 0.731
0.228 0.228 0.228
0.269 0.269 0.777
0.269 0.777 0.269
0.731 0.223 0.731
0.731 0.731 0.223
0.772 0.772 0.772
0.777 0.269 0.269
```

No. 6
DFT (PBE) results for a relaxed structure of K2Ag3Pt.

Summary:
Energy of formation from the pure elements ... -0.060 eV/atom
Calculated total energy ... -2.858 eV/atom
Space group ... C2/m (12)

Cell and atoms, written as POSCAR:
```
K2Ag3Pt
1.0
4.977 -2.921 0.000
4.977 2.921 0.000
-3.221 0.000 4.768
K Ag Pt
2 3 1
Direct
0.127 0.127 0.373
0.873 0.873 0.627
0.000 0.500 0.000
0.500 0.000 0.000
0.500 0.500 0.500
0.500 0.500 0.000
```

No. 7
DFT (PBE) results for a relaxed structure of KTaTcN4.

Summary:
Raw formation energy ... -0.255 eV/atom
Calculated total energy ... -8.343 eV/atom
Space group ... P2_1/m (11)

Cell and atoms, written as POSCAR:
```
KTaTcN4
1.0
5.729 0.000 0.000
0.000 5.797 0.000
-1.425 0.000 6.902
K Ta Tc N
2 2 2 8
Direct
0.161 0.250 0.067
0.839 0.750 0.933
0.131 0.750 0.467
0.869 0.250 0.533
0.412 0.250 0.641
0.588 0.750 0.359
0.159 0.026 0.654
0.159 0.474 0.654
0.277 0.750 0.220
0.472 0.250 0.408
0.528 0.750 0.592
0.723 0.250 0.780
0.841 0.526 0.346
0.841 0.974 0.346
```

No. 8
DFT (PBE) results for a relaxed structure of CaMg2Al.

Summary:
Energy of formation from the pure elements ... 0.028 eV/atom
Calculated total energy ... -2.206 eV/atom
Space group ... Cm (8)

Cell and atoms, written as POSCAR:
```
CaMg2Al
1.0
5.106 -1.611 0.000
5.106 1.611 0.000
-1.002 0.000 6.065
Ca Mg Al
1 2 1
Direct
0.000 0.000 0.000
0.234 0.234 0.699
0.483 0.483 0.482
0.751 0.751 0.262
```

No. 9
DFT (PBE) results for a relaxed structure of Ca2Si3IrPt12.

Summary:
Raw formation energy ... -0.291 eV/atom
Calculated total energy ... -5.936 eV/atom
Space group ... R-3m (166)

Cell and atoms, written as POSCAR:
```
Ca2Si3IrPt12
1.0
4.066 2.348 6.188
-4.066 2.348 6.188
0.000 -4.695 6.188
Ca Si Ir Pt
2 3 1 12
Direct
0.108 0.108 0.108
0.892 0.892 0.892
0.000 0.500 0.500
0.500 0.000 0.500
0.500 0.500 0.000
0.500 0.500 0.500
0.117 0.630 0.630
0.144 0.144 0.603
0.144 0.603 0.144
0.370 0.370 0.883
0.370 0.883 0.370
0.397 0.856 0.856
0.603 0.144 0.144
0.630 0.117 0.630
0.630 0.630 0.117
0.856 0.397 0.856
0.856 0.856 0.397
0.883 0.370 0.370
```

No. 10
DFT (PBE) results for a relaxed structure of Sm8PIr3Br4.

Summary:
Raw formation energy ... -1.157 eV/atom
Calculated total energy ... -5.935 eV/atom
Space group ... R-3m (166)

Cell and atoms, written as POSCAR:
```
Sm8PIr3Br4
1.0
4.159 2.401 7.598
-4.159 2.401 7.598
0.000 -4.802 7.598
Sm P Ir Br
8 1 3 4
Direct
0.222 0.736 0.736
0.232 0.232 0.232
0.264 0.264 0.778
0.264 0.778 0.264
0.736 0.222 0.736
0.736 0.736 0.222
0.768 0.768 0.768
0.778 0.264 0.264
0.500 0.500 0.500
0.000 0.000 0.500
0.000 0.500 0.000
0.500 0.000 0.000
0.000 0.000 0.000
0.000 0.500 0.500
0.500 0.000 0.500
0.500 0.500 0.000
```